Material: CaSc2Re
Method: DFT, meta-GGA SCAN
State: single point on PBEsol structure

The structure in POSCAR format:
```
CaSc2Re
1.0
0.000 3.415 3.415
3.415 0.000 3.415
3.415 3.415 0.000
Ca Sc Re
1 2 1
direct
0.000 0.000 0.000
0.250 0.250 0.250
0.750 0.750 0.750
0.500 0.500 0.500
```

Summary:
- symmetry = Fm-3m (225)
- E above lowest polymorph (meV/atom) = 0

Material: CaScRe
Method: DFT, meta-GGA SCAN
State: single point on PBEsol structure

The structure in POSCAR format:
```
CaScRe
1.0
0.000 3.270 3.270
3.270 0.000 3.270
3.270 3.270 0.000
Ca Sc Re
1 1 1
direct
0.000 0.000 0.000
0.500 0.500 0.500
0.250 0.250 0.250
```

Summary:
- symmetry = F-43m (216)

Material: CaSc2Re
Method: DFT, meta-GGA SCAN
State: single point on PBEsol structure

The structure in POSCAR format:
```
CaSc2Re
1.0
1.619 0.935 10.207
-1.619 0.935 10.207
0.000 -1.869 10.207
Ca Sc Re
1 2 1
direct
0.000 0.000 0.000
0.104 0.104 0.104
0.896 0.896 0.896
0.500 0.500 0.500
```

Summary:
- symmetry = R-3m (166)
- E above lowest polymorph (meV/atom) = 41

Material: CaSc2Re
Method: DFT, meta-GGA SCAN
State: single point on PBEsol structure

The structure in POSCAR format:
```
CaSc2Re
1.0
4.486 -1.569 0.000
4.486 1.569 0.000
-0.874 0.000 6.244
Ca Sc Re
1 2 1
direct
0.000 0.000 0.000
0.224 0.224 0.692
0.776 0.776 0.308
0.500 0.500 0.500
```

Summary:
- symmetry = C2/m (12)
- E above lowest polymorph (meV/atom) = 6

What did we get for ΔE_f? Answer: 0.243 0.868 0.284 0.249 eV/atom, in the order shown.
What did we get for raw total energy? Answer: -108.26 -92.39 -108.10 -108.24 eV per cell, in the order shown.